Entry 1:
# ScCuPb2

A PBEsol-optimized structure of ScCuPb2 (meta-GGA SCAN, Alexandria).

Calculated values
Relative energy among the computed polymorphs in eV per atom: 0.0100
Total magnetization in μB/cell: 0.0
Energy of formation in meV per atom: -92
Uncorrected energy in eV for the cell shown: -362.73

abc: 4.4679 5.6150 6.9592
angles: 90.00 90.00 90.00
Space group Cmmm (No. 65)
Unique sites:
Sc 0.0000 0.0000 0.0000 (multiplicity 2)
Cu 0.0000 0.0000 0.5000 (multiplicity 2)
Pb 0.0000 0.5000 0.2738 (multiplicity 4)

=====

Entry 2:
# TaBeTe2

A PBEsol-optimized structure of TaBeTe2 (meta-GGA SCAN, Alexandria).

Calculated values
ΔE_f (raw) in eV per atom: 0.159
Total magnetization in μB/cell: 0.0
Uncorrected energy in eV for the cell shown: -144.80

abc: 3.4101 3.4101 7.0765
angles: 90.00 90.00 90.00
Space group P4mm (No. 99)
Unique sites:
Ta 0.0000 0.0000 0.0000 (multiplicity 1)
Be 0.5000 0.5000 0.8384 (multiplicity 1)
Te 0.0000 0.0000 0.6150 (multiplicity 1)
Te 0.5000 0.5000 0.2054 (multiplicity 1)

=====

Entry 3:
# BaTeIN2

A PBEsol-optimized structure of BaTeIN2 (meta-GGA SCAN, Alexandria).

Calculated values
ΔE_f (raw) in eV per atom: 1.188
Total magnetization in μB/cell: 5.0
Uncorrected energy in eV for the cell shown: -126.18

abc: 5.0237 5.0237 6.8695
angles: 90.00 90.00 90.00
Space group P4/mmm (No. 123)
Unique sites:
Ba 0.0000 0.0000 0.0000 (multiplicity 1)
Te 0.5000 0.5000 0.5000 (multiplicity 1)
I 0.0000 0.0000 0.5000 (multiplicity 1)
N 0.0000 0.5000 0.0000 (multiplicity 2)

=====

Entry 4:
# MgCd2In

A PBEsol-optimized structure of MgCd2In (meta-GGA SCAN, Alexandria).

Calculated values
Total magnetization in μB/cell: 0.0
Energy of formation in meV per atom: -58
Uncorrected energy in eV for the cell shown: -198.84

abc: 10.0868 3.2010 5.5506
angles: 90.00 101.62 90.00
Space group Cm (No. 8)
Unique sites:
Mg 0.0000 0.0000 0.0000 (multiplicity 2)
Cd 0.2461 0.5000 0.2451 (multiplicity 2)
Cd 0.4946 0.0000 0.4862 (multiplicity 2)
In 0.2475 0.0000 0.7500 (multiplicity 2)

=====

Entry 5:
# CdAs

A PBEsol-optimized structure of CdAs (meta-GGA SCAN, Alexandria).

Calculated values
Relative energy among the computed polymorphs in eV per atom: 0.3683
Total magnetization in μB/cell: 0.0
Energy of formation in meV per atom: 245
Uncorrected energy in eV for the cell shown: -100.23

abc: 3.9644 4.9009 4.2044
angles: 90.00 90.00 90.00
Space group Cmmm (No. 65)
Unique sites:
Cd 0.0000 0.0000 0.0000 (multiplicity 2)
As 0.0000 0.5000 0.5000 (multiplicity 2)

=====

Entry 6:
# HfPIr2Pb

A PBEsol-optimized structure of HfPIr2Pb (meta-GGA SCAN, Alexandria).

Calculated values
Total magnetization in μB/cell: 0.4
Energy of formation in meV per atom: 123
Uncorrected energy in eV for the cell shown: -290.44

abc: 4.4104 4.4104 4.8461
angles: 90.00 90.00 90.00
Space group P4/mmm (No. 123)
Unique sites:
Hf 0.0000 0.0000 0.0000 (multiplicity 1)
P 0.0000 0.0000 0.5000 (multiplicity 1)
Ir 0.0000 0.5000 0.5000 (multiplicity 2)
Pb 0.5000 0.5000 0.0000 (multiplicity 1)